Entry 1:
A plane-wave DFT calculation with GGA-PBE was carried out for a relaxed ZrAl2 crystal.

```
data_ZrAl2
_chemical_formula_sum 'Zr2 Al4'
_symmetry_space_group_name_H-M 'P 1'
_symmetry_Int_Tables_number 1
_cell_length_a 5.534
_cell_length_b 5.534
_cell_length_c 5.142
_cell_angle_alpha 90.00
_cell_angle_beta 90.00
_cell_angle_gamma 90.00
loop_
_symmetry_equiv_pos_as_xyz
'x,y,z'
loop_
_atom_site_label
_atom_site_type_symbol
_atom_site_fract_x
_atom_site_fract_y
_atom_site_fract_z
Zr1 Zr 0.000 0.000 0.000
Zr2 Zr 0.500 0.500 0.500
Al1 Al 0.158 0.158 0.500
Al2 Al 0.342 0.658 0.000
Al3 Al 0.658 0.342 0.000
Al4 Al 0.842 0.842 0.500
```

**Symmetry**: P4_2/mnm, No. 136
**Raw total energy**: -4.6585 eV per atom

***

Entry 2:
A plane-wave DFT calculation with GGA-PBE was carried out for a relaxed AsAu9 crystal.

```
data_AsAu9
_chemical_formula_sum 'As2 Au18'
_symmetry_space_group_name_H-M 'P 1'
_symmetry_Int_Tables_number 1
_cell_length_a 2.945
_cell_length_b 3.959
_cell_length_c 35.926
_cell_angle_alpha 90.00
_cell_angle_beta 90.00
_cell_angle_gamma 90.00
loop_
_symmetry_equiv_pos_as_xyz
'x,y,z'
loop_
_atom_site_label
_atom_site_type_symbol
_atom_site_fract_x
_atom_site_fract_y
_atom_site_fract_z
As1 As 0.250 0.250 0.102
As2 As 0.750 0.750 0.898
Au1 Au 0.250 0.250 0.180
Au2 Au 0.250 0.250 0.266
Au3 Au 0.250 0.250 0.351
Au4 Au 0.250 0.250 0.436
Au5 Au 0.250 0.250 0.521
Au6 Au 0.250 0.250 0.606
Au7 Au 0.250 0.250 0.691
Au8 Au 0.250 0.250 0.777
Au9 Au 0.250 0.250 0.867
Au10 Au 0.750 0.750 0.133
Au11 Au 0.750 0.750 0.223
Au12 Au 0.750 0.750 0.309
Au13 Au 0.750 0.750 0.394
Au14 Au 0.750 0.750 0.479
Au15 Au 0.750 0.750 0.564
Au16 Au 0.750 0.750 0.649
Au17 Au 0.750 0.750 0.734
Au18 Au 0.750 0.750 0.820
```

**Symmetry**: Pmmn, No. 59
**Offset from the most stable computed form**: 0 meV per atom

***

Entry 3:
A plane-wave DFT calculation with GGA-PBE was carried out for a relaxed AsAu crystal.

```
data_AsAu
_chemical_formula_sum 'As4 Au4'
_symmetry_space_group_name_H-M 'P 1'
_symmetry_Int_Tables_number 1
_cell_length_a 5.402
_cell_length_b 5.402
_cell_length_c 5.402
_cell_angle_alpha 90.00
_cell_angle_beta 90.00
_cell_angle_gamma 90.00
loop_
_symmetry_equiv_pos_as_xyz
'x,y,z'
loop_
_atom_site_label
_atom_site_type_symbol
_atom_site_fract_x
_atom_site_fract_y
_atom_site_fract_z
As1 As 0.000 0.000 0.000
As2 As 0.000 0.500 0.500
As3 As 0.500 0.000 0.500
As4 As 0.500 0.500 0.000
Au1 Au 0.000 0.000 0.500
Au2 Au 0.000 0.500 0.000
Au3 Au 0.500 0.000 0.000
Au4 Au 0.500 0.500 0.500
```

**Symmetry**: Fm-3m, No. 225
**Raw total energy**: -3.8315 eV per atom

***

Entry 4:
A plane-wave DFT calculation with GGA-PBE was carried out for a relaxed AsAu7 crystal.

```
data_AsAu7
_chemical_formula_sum 'As2 Au14'
_symmetry_space_group_name_H-M 'P 1'
_symmetry_Int_Tables_number 1
_cell_length_a 2.855
_cell_length_b 2.855
_cell_length_c 43.245
_cell_angle_alpha 90.00
_cell_angle_beta 90.00
_cell_angle_gamma 90.00
loop_
_symmetry_equiv_pos_as_xyz
'x,y,z'
loop_
_atom_site_label
_atom_site_type_symbol
_atom_site_fract_x
_atom_site_fract_y
_atom_site_fract_z
As1 As 0.250 0.250 0.124
As2 As 0.750 0.750 0.876
Au1 Au 0.250 0.250 0.224
Au2 Au 0.250 0.250 0.324
Au3 Au 0.250 0.250 0.425
Au4 Au 0.250 0.250 0.525
Au5 Au 0.250 0.250 0.625
Au6 Au 0.250 0.250 0.726
Au7 Au 0.250 0.250 0.827
Au8 Au 0.750 0.750 0.173
Au9 Au 0.750 0.750 0.274
Au10 Au 0.750 0.750 0.375
Au11 Au 0.750 0.750 0.475
Au12 Au 0.750 0.750 0.575
Au13 Au 0.750 0.750 0.676
Au14 Au 0.750 0.750 0.776
```

**Symmetry**: P4/nmm, No. 129
**Raw total energy**: -3.3657 eV per atom

***

Entry 5:
A plane-wave DFT calculation with GGA-PBE was carried out for a relaxed AsAu10 crystal.

```
data_AsAu10
_chemical_formula_sum 'As2 Au20'
_symmetry_space_group_name_H-M 'P 1'
_symmetry_Int_Tables_number 1
_cell_length_a 4.910
_cell_length_b 4.910
_cell_length_c 31.290
_cell_angle_alpha 90.16
_cell_angle_beta 90.16
_cell_angle_gamma 47.37
loop_
_symmetry_equiv_pos_as_xyz
'x,y,z'
loop_
_atom_site_label
_atom_site_type_symbol
_atom_site_fract_x
_atom_site_fract_y
_atom_site_fract_z
As1 As 0.176 0.176 0.328
As2 As 0.824 0.824 0.672
Au1 Au 0.050 0.050 0.112
Au2 Au 0.052 0.052 0.791
Au3 Au 0.138 0.138 0.687
Au4 Au 0.150 0.150 0.016
Au5 Au 0.245 0.245 0.242
Au6 Au 0.250 0.250 0.919
Au7 Au 0.349 0.349 0.146
Au8 Au 0.351 0.351 0.824
Au9 Au 0.450 0.450 0.048
Au10 Au 0.456 0.456 0.724
Au11 Au 0.544 0.544 0.276
Au12 Au 0.550 0.550 0.952
Au13 Au 0.649 0.649 0.176
Au14 Au 0.651 0.651 0.854
Au15 Au 0.750 0.750 0.081
Au16 Au 0.755 0.755 0.758
Au17 Au 0.850 0.850 0.984
Au18 Au 0.862 0.862 0.313
Au19 Au 0.948 0.948 0.209
Au20 Au 0.950 0.950 0.888
```

**Symmetry**: C2/m, No. 12
**Raw total energy**: -3.3217 eV per atom

***

Entry 6:
A plane-wave DFT calculation with GGA-PBE was carried out for a relaxed AsAu7 crystal.

```
data_AsAu7
_chemical_formula_sum 'As2 Au14'
_symmetry_space_group_name_H-M 'P 1'
_symmetry_Int_Tables_number 1
_cell_length_a 2.889
_cell_length_b 3.929
_cell_length_c 32.620
_cell_angle_alpha 90.00
_cell_angle_beta 90.00
_cell_angle_gamma 90.00
loop_
_symmetry_equiv_pos_as_xyz
'x,y,z'
loop_
_atom_site_label
_atom_site_type_symbol
_atom_site_fract_x
_atom_site_fract_y
_atom_site_fract_z
As1 As 0.250 0.250 0.145
As2 As 0.750 0.750 0.855
Au1 Au 0.250 0.250 0.234
Au2 Au 0.250 0.250 0.331
Au3 Au 0.250 0.250 0.428
Au4 Au 0.250 0.250 0.524
Au5 Au 0.250 0.250 0.621
Au6 Au 0.250 0.250 0.717
Au7 Au 0.250 0.250 0.819
Au8 Au 0.750 0.750 0.181
Au9 Au 0.750 0.750 0.283
Au10 Au 0.750 0.750 0.379
Au11 Au 0.750 0.750 0.476
Au12 Au 0.750 0.750 0.572
Au13 Au 0.750 0.750 0.669
Au14 Au 0.750 0.750 0.766
```

**Symmetry**: Pmmn, No. 59
**Raw total energy**: -3.3675 eV per atom

***

Copy entry 1 word for word.
A plane-wave DFT calculation with GGA-PBE was carried out for a relaxed ZrAl2 crystal.

```
data_ZrAl2
_chemical_formula_sum 'Zr2 Al4'
_symmetry_space_group_name_H-M 'P 1'
_symmetry_Int_Tables_number 1
_cell_length_a 5.534
_cell_length_b 5.534
_cell_length_c 5.142
_cell_angle_alpha 90.00
_cell_angle_beta 90.00
_cell_angle_gamma 90.00
loop_
_symmetry_equiv_pos_as_xyz
'x,y,z'
loop_
_atom_site_label
_atom_site_type_symbol
_atom_site_fract_x
_atom_site_fract_y
_atom_site_fract_z
Zr1 Zr 0.000 0.000 0.000
Zr2 Zr 0.500 0.500 0.500
Al1 Al 0.158 0.158 0.500
Al2 Al 0.342 0.658 0.000
Al3 Al 0.658 0.342 0.000
Al4 Al 0.842 0.842 0.500
```

**Symmetry**: P4_2/mnm, No. 136
**Raw total energy**: -4.6585 eV per atom